Record 1
The following is a DFT calculation (PBE) of crystalline Mn2CdP at its relaxed geometry.

Cell: 4.7243 4.7243 4.7243 Å, 138.25 120.02 75.73°
With the nearest neighbours (Å) after each atom.
Element x y z (fractional)
Mn 0.1986 0.1986 0.0000  2 P 2.24
Mn 0.8014 0.8014 0.0000  2 P 2.24
Cd 0.5000 0.0000 0.5000  8 Mn 2.79-2.81, 4 P 2.90
P 0.0000 0.5000 0.5000  4 Mn 2.24

Values from the calculation:
space group	No. 71


Record 2
The following is a DFT calculation (PBE) of crystalline Mn2CdP at its relaxed geometry.

Cell: 5.1420 5.1420 5.1420 Å, 136.92 136.92 62.56°
With the nearest neighbours (Å) after each atom.
Element x y z (fractional)
Mn 0.0000 0.0000 0.0000  4 Cd 2.67, 4 Mn 2.90, 4 P 2.90
Mn 0.7500 0.2500 0.5000  4 P 2.67, 4 Cd 2.90, 4 Mn 2.90
Cd 0.5000 0.5000 0.0000  8 Mn 2.67-2.90, 4 P 2.90
P 0.2500 0.7500 0.5000  8 Mn 2.67-2.90, 4 Cd 2.90

Values from the calculation:
space group	No. 119


Record 3
The following is a DFT calculation (PBE) of crystalline Mn3CdP at its relaxed geometry.

Cell: 4.9062 4.9062 4.9062 Å, 90.00 90.00 90.00°
With the nearest neighbours (Å) after each atom.
Element x y z (fractional)
Mn 0.0000 0.0000 0.5000  2 Cd 2.45
Mn 0.0000 0.5000 0.0000  2 Cd 2.45
Mn 0.5000 0.0000 0.0000  2 Cd 2.45
Cd 0.0000 0.0000 0.0000  6 Mn 2.45
P 0.5000 0.5000 0.5000  12 Mn 3.47

Values from the calculation:
space group	No. 221


Record 4
The following is a DFT calculation (PBE) of crystalline MnCd2P at its relaxed geometry.

Cell: 9.0928 9.0928 9.0928 Å, 19.54 19.54 19.54°
With the nearest neighbours (Å) after each atom.
Element x y z (fractional)
Mn 0.0000 0.0000 0.0000  3 P 2.24
Cd 0.2496 0.2496 0.2496  3 Mn 2.86, 6 Cd 3.09
Cd 0.4803 0.4803 0.4803  9 Cd 3.09-3.27, 3 P 3.13
P 0.7173 0.7173 0.7173  3 Mn 2.24

Values from the calculation:
space group	No. 160


Record 5
The following is a DFT calculation (PBE) of crystalline Mn2CdP at its relaxed geometry.

Cell: 7.1310 7.1310 7.1310 Å, 156.87 154.69 34.55°
With the nearest neighbours (Å) after each atom.
Element x y z (fractional)
Mn 0.0000 0.0000 0.0000  2 P 2.29
Mn 0.8222 0.3222 0.5000  4 P 2.24
Cd 0.6455 0.6455 0.0000  6 Mn 2.80-2.90, 4 Cd 2.86-3.12
P 0.3767 0.8767 0.5000  6 Mn 2.24-2.29

Values from the calculation:
space group	No. 44


Record 6
The following is a DFT calculation (PBE) of crystalline Mn2CdP at its relaxed geometry.

Cell: 2.8280 2.8280 6.8440 Å, 90.00 90.00 90.00°
With the nearest neighbours (Å) after each atom.
Element x y z (fractional)
Mn 0.0000 0.0000 0.1864  4 P 2.37, 1 Mn 2.55
Mn 0.0000 0.0000 0.8136  4 P 2.37, 1 Mn 2.55
Cd 0.5000 0.5000 0.5000  4 Cd 2.83, 8 Mn 2.93
P 0.5000 0.5000 0.0000  8 Mn 2.37

Values from the calculation:
space group	No. 123


| no. | total magnetization (μB/f.u.) | final energy (eV/atom) | energy of formation from the pure elements (meV per atom) |
| --- | --- | --- | --- |
| 1 | 4.567 | -6.027 | 139 |
| 2 | 6.993 | -5.911 | 255 |
| 3 | 12.159 | -5.383 | 1384 |
| 4 | 2.049 | -4.067 | 36 |
| 5 | 2.875 | -6.180 | -14 |
| 6 | 3.390 | -6.191 | -25 |